1.
YEr4Ag: relaxed, PBE-GGA.

```
YEr4Ag
1.0
3.5170 0.0000 0.0000
0.0000 3.5170 0.0000
0.0000 0.0000 13.8826
Y Er Ag
1 4 1
Cartesian
0.0000 0.0000 0.0000
0.0000 0.0000 5.0363
0.0000 0.0000 8.8462
1.7585 1.7585 2.5218
1.7585 1.7585 11.3608
1.7585 1.7585 6.9413
```

Computed properties:
ΔE_f ... -0.08 eV/atom
Density ... 8.37 g/cm3

---

2.
SmAl4Ni2Os: relaxed, PBE-GGA.

```
SmAl4Ni2Os
1.0
2.0588 1.1886 8.9831
-2.0588 1.1886 8.9831
0.0000 -2.3773 8.9831
Sm Al Ni Os
1 4 2 1
Cartesian
0.0000 0.0000 0.0000
0.0000 0.0000 3.5799
0.0000 0.0000 10.9599
0.0000 0.0000 15.9894
0.0000 0.0000 23.3693
0.0000 0.0000 6.2100
0.0000 0.0000 20.7392
0.0000 0.0000 13.4746
```

Computed properties:
ΔE_f ... -0.51 eV/atom
Density ... 7.12 g/cm3

---

Number 1 is which compound?
YEr4Ag